1.
Below is BiPdCl after structural relaxation, with properties calculated at the PBE level.

The final energy is -4.10 eV per atom. Its formation energy (no corrections) is -0.464 eV per atom. The density of states at the Fermi level comes out at 0.10 states/eV/f.u.

It has space group P-1 (No. 2), with a = 3.739 Å, b = 5.406 Å, c = 7.324 Å, α = 89.94°, β = 80.21° and γ = 89.96°. The asymmetric unit holds Bi at (0.054, 0.250, 0.180), Pd at (0.357, 0.750, 0.094) and Cl at (0.234, 0.250, 0.643).

***

2.
Below is Bi2Pd2Cl after structural relaxation, with properties calculated at the PBE level.

The final energy is -4.34 eV per atom. Its formation energy (no corrections) is -0.339 eV per atom. The calculation puts the relative energy among the computed polymorphs at 0.0 meV per atom. The density of states at the Fermi level comes out at 1.89 states/eV/f.u.

It has space group I4/mmm (No. 139), with a = 3.940 Å, b = 3.940 Å, c = 15.892 Å, α = 90.00°, β = 90.00° and γ = 90.00°. The asymmetric unit holds Bi at (0.000, 0.000, 0.127), Pd at (0.000, 0.500, 0.250) and Cl at (0.000, 0.000, 0.500).

***

3.
Below is BiPdCl3 after structural relaxation, with properties calculated at the PBE level.

The final energy is -3.08 eV per atom. Its formation energy (no corrections) is -0.162 eV per atom. The calculation puts the relative energy among the computed polymorphs at 0.0 meV per atom. The density of states at the Fermi level comes out at 4.07 states/eV/f.u.

It has space group Pm-3m (No. 221), with a = 4.911 Å, b = 4.911 Å, c = 4.911 Å, α = 90.00°, β = 90.00° and γ = 90.00°. The asymmetric unit holds Bi at (0.000, 0.000, 0.000), Pd at (0.500, 0.500, 0.500) and Cl at (0.000, 0.500, 0.500).

***

4.
Below is Bi2PdCl after structural relaxation, with properties calculated at the PBE level.

The final energy is -3.73 eV per atom. Its formation energy (no corrections) is -0.029 eV per atom. The calculation puts the relative energy among the computed polymorphs at 349.4 meV per atom. The density of states at the Fermi level comes out at 2.54 states/eV/f.u.

It has space group I-42d (No. 122), with a = 6.514 Å, b = 6.514 Å, c = 13.005 Å, α = 90.00°, β = 90.00° and γ = 90.00°. The asymmetric unit holds Bi at (0.198, 0.250, 0.125), Pd at (0.000, 0.000, 0.000) and Cl at (0.000, 0.000, 0.500).

***

5.
Below is Bi2PdCl after structural relaxation, with properties calculated at the PBE level.

The final energy is -4.07 eV per atom. Its formation energy (no corrections) is -0.368 eV per atom. The calculation puts the relative energy among the computed polymorphs at 10.5 meV per atom. The density of states at the Fermi level comes out at 1.42 states/eV/f.u.

It has space group R3m (No. 160, hexagonal axes), with a = 4.3259 Å, b = 4.3259 Å, c = 21.0106 Å, α = 90.00°, β = 90.00° and γ = 120.00°. The asymmetric unit holds Bi at (0.0000, 0.0000, 0.0000), Bi at (0.0000, 0.0000, 0.2141), Pd at (0.0000, 0.0000, 0.6070) and Cl at (0.0000, 0.0000, 0.7721).

***

6.
Below is Bi2PdCl8 after structural relaxation, with properties calculated at the PBE level.

The final energy is -3.27 eV per atom. Its formation energy (no corrections) is -0.751 eV per atom.

It has space group C2/m (No. 12), with a = 12.133 Å, b = 6.264 Å, c = 10.908 Å, α = 90.00°, β = 105.03° and γ = 90.00°. The asymmetric unit holds Bi at (0.204, 0.000, 0.326), Pd at (0.000, 0.000, 0.000), Cl at (0.099, 0.500, 0.690), Cl at (0.122, 0.250, 0.118) and Cl at (0.234, 0.500, 0.406).

***

7.
Below is Bi2PdCl after structural relaxation, with properties calculated at the PBE level.

The final energy is -4.08 eV per atom. Its formation energy (no corrections) is -0.378 eV per atom. The calculation puts the relative energy among the computed polymorphs at 0.0 meV per atom. The density of states at the Fermi level comes out at 1.69 states/eV/f.u.

It has space group R-3m (No. 166, hexagonal axes), with a = 4.2730 Å, b = 4.2730 Å, c = 21.2252 Å, α = 90.00°, β = 90.00° and γ = 120.00°. The asymmetric unit holds Bi at (0.0000, 0.0000, 0.2275), Pd at (0.0000, 0.0000, 0.5000) and Cl at (0.0000, 0.0000, 0.0000).

***

8.
Below is Bi2Pd2Cl after structural relaxation, with properties calculated at the PBE level.

The final energy is -4.22 eV per atom. Its formation energy (no corrections) is -0.225 eV per atom. The calculation puts the relative energy among the computed polymorphs at 114.0 meV per atom. The density of states at the Fermi level comes out at 2.20 states/eV/f.u.

It has space group P4/mbm (No. 127), with a = 8.032 Å, b = 8.032 Å, c = 3.496 Å, α = 90.00°, β = 90.00° and γ = 90.00°. The asymmetric unit holds Bi at (0.156, 0.344, 0.000), Pd at (0.131, 0.631, 0.500) and Cl at (0.000, 0.000, 0.500).

***

9.
Below is BiPdCl4 after structural relaxation, with properties calculated at the PBE level.

The final energy is -3.36 eV per atom. Its formation energy (no corrections) is -0.615 eV per atom. The density of states at the Fermi level comes out at 0.18 states/eV/f.u.

It has space group C2/c (No. 15), with a = 12.520 Å, b = 7.511 Å, c = 7.331 Å, α = 90.00°, β = 90.17° and γ = 90.00°. The asymmetric unit holds Bi at (0.250, 0.250, 0.000), Pd at (0.000, 0.003, 0.750), Cl at (0.029, 0.219, 0.002) and Cl at (0.224, 0.431, 0.678).

***

10.
Below is Bi2PdCl after structural relaxation, with properties calculated at the PBE level.

The final energy is -3.80 eV per atom. Its formation energy (no corrections) is -0.105 eV per atom. The calculation puts the relative energy among the computed polymorphs at 273.7 meV per atom. The density of states at the Fermi level comes out at 3.60 states/eV/f.u.

It has space group Fm-3m (No. 225), with a = 7.163 Å, b = 7.163 Å, c = 7.163 Å, α = 90.00°, β = 90.00° and γ = 90.00°. The asymmetric unit holds Bi at (0.250, 0.250, 0.250), Pd at (0.000, 0.000, 0.000) and Cl at (0.000, 0.000, 0.500).

***

11.
Below is Rb2BiPdCl6 after structural relaxation, with properties calculated at the PBE level.

The final energy is -3.41 eV per atom. Its formation energy (no corrections) is -1.205 eV per atom. The density of states at the Fermi level comes out at 3.21 states/eV/f.u.

It has space group Cm (No. 8), with a = 10.567 Å, b = 10.660 Å, c = 7.494 Å, α = 90.00°, β = 134.81° and γ = 90.00°. The asymmetric unit holds Rb at (0.000, 0.250, 0.000), Bi at (0.499, 0.000, 0.500), Pd at (0.499, 0.500, 0.500), Cl at (0.241, 0.000, 0.500), Cl at (0.243, 0.000, 0.986), Cl at (0.255, 0.500, 0.014), Cl at (0.258, 0.500, 0.501) and Cl at (0.499, 0.256, 0.500).

***

12.
Below is BiPdSe2Cl after structural relaxation, with properties calculated at the PBE level.

The final energy is -3.08 eV per atom. Its formation energy (no corrections) is 0.496 eV per atom. The density of states at the Fermi level comes out at 7.10 states/eV/f.u.

It has space group P4/mmm (No. 123), with a = 5.522 Å, b = 5.522 Å, c = 5.275 Å, α = 90.00°, β = 90.00° and γ = 90.00°. The asymmetric unit holds Bi at (0.000, 0.000, 0.000), Pd at (0.500, 0.500, 0.500), Se at (0.000, 0.500, 0.000) and Cl at (0.000, 0.000, 0.500).